Record 1
The following is a PBE calculation of a geometry-optimized Fe2SnTe3 structure, from OQMD.

Summary:
- ρ: 7.34 Mg/m³
- DFT total energy: -4.951 eV per atom
- Space group: Cmcm

Unit cell a=7.260 b=7.260 c=10.354 alpha=90.00 beta=90.00 gamma=149.45
Positions (direct):
Fe (0.000, 0.000, 0.000)
Fe (0.000, 0.000, 0.500)
Fe (0.449, 0.551, 0.750)
Fe (0.551, 0.449, 0.250)
Sn (0.208, 0.792, 0.250)
Sn (0.792, 0.208, 0.750)
Te (0.074, 0.926, 0.750)
Te (0.374, 0.626, 0.527)
Te (0.374, 0.626, 0.973)
Te (0.626, 0.374, 0.027)
Te (0.626, 0.374, 0.473)
Te (0.926, 0.074, 0.250)

***

Record 2
The following is a PBE calculation of a geometry-optimized PmSbI2O2 structure, from OQMD.

Summary:
- ρ: 6.34 Mg/m³
- DFT total energy: -5.394 eV per atom
- Space group: P4mm

Unit cell a=3.967 b=3.967 c=9.197 alpha=90.00 beta=90.00 gamma=90.00
Positions (direct):
Pm (0.000, 0.000, 0.000)
Sb (0.500, 0.500, 0.255)
I (0.000, 0.000, 0.459)
I (0.500, 0.500, 0.799)
O (0.000, 0.500, 0.131)
O (0.500, 0.000, 0.131)

***

Record 3
The following is a PBE calculation of a geometry-optimized Pm7CoBr12 structure, from OQMD.

Summary:
- ρ: 4.79 Mg/m³
- DFT total energy: -4.608 eV per atom
- Space group: R-3

Unit cell a=9.423 b=9.423 c=9.423 alpha=106.56 beta=106.56 gamma=106.56
Positions (direct):
Pm (0.000, 0.000, 0.000)
Pm (0.196, 0.400, 0.481)
Pm (0.400, 0.481, 0.196)
Pm (0.481, 0.196, 0.400)
Pm (0.519, 0.804, 0.600)
Pm (0.600, 0.519, 0.804)
Pm (0.804, 0.600, 0.519)
Co (0.500, 0.500, 0.500)
Br (0.039, 0.333, 0.119)
Br (0.119, 0.039, 0.333)
Br (0.178, 0.720, 0.571)
Br (0.280, 0.429, 0.822)
Br (0.333, 0.119, 0.039)
Br (0.429, 0.822, 0.280)
Br (0.571, 0.178, 0.720)
Br (0.667, 0.881, 0.961)
Br (0.720, 0.571, 0.178)
Br (0.822, 0.280, 0.429)
Br (0.881, 0.961, 0.667)
Br (0.961, 0.667, 0.881)

***

Record 4
The following is a PBE calculation of a geometry-optimized CuReSbW structure, from OQMD.

Summary:
- ρ: 14.35 Mg/m³
- DFT total energy: -7.752 eV per atom
- Space group: F-43m
- Energy relative to the lowest polymorph listed for this composition: 0 meV per atom

Unit cell a=4.496 b=4.496 c=4.496 alpha=60.00 beta=60.00 gamma=60.00
Positions (direct):
Cu (0.000, 0.000, 0.000)
Re (0.500, 0.500, 0.500)
Sb (0.750, 0.750, 0.750)
W (0.250, 0.250, 0.250)

***

Record 5
The following is a PBE calculation of a geometry-optimized Nb4CoCuN2 structure, from OQMD.

Summary:
- ρ: 7.96 Mg/m³
- DFT total energy: -8.874 eV per atom
- Space group: P-6m2

Unit cell a=3.113 b=3.113 c=12.972 alpha=90.00 beta=90.00 gamma=120.00
Positions (direct):
Nb (0.000, 0.000, 0.151)
Nb (0.000, 0.000, 0.849)
Nb (0.333, 0.667, 0.339)
Nb (0.333, 0.667, 0.661)
Co (0.333, 0.667, 0.000)
Cu (0.000, 0.000, 0.500)
N (0.667, 0.333, 0.246)
N (0.667, 0.333, 0.754)

***

Record 6
The following is a PBE calculation of a geometry-optimized TaGaTc structure, from OQMD.

Summary:
- ρ: 10.05 Mg/m³
- DFT total energy: -7.877 eV per atom
- Space group: F-43m
- Energy relative to the lowest polymorph listed for this composition: 303 meV per atom

Unit cell a=4.335 b=4.335 c=4.335 alpha=60.00 beta=60.00 gamma=60.00
Positions (direct):
Ta (0.000, 0.000, 0.000)
Ga (0.750, 0.750, 0.750)
Tc (0.250, 0.250, 0.250)

***

Record 7
The following is a PBE calculation of a geometry-optimized ErInAsO structure, from OQMD.

Summary:
- ρ: 7.70 Mg/m³
- DFT total energy: -5.714 eV per atom
- Space group: P4/nmm
- Energy relative to the lowest polymorph listed for this composition: 0 meV per atom

Unit cell a=4.060 b=4.060 c=9.757 alpha=90.00 beta=90.00 gamma=90.00
Positions (direct):
Er (0.250, 0.250, 0.102)
Er (0.750, 0.750, 0.898)
In (0.250, 0.750, 0.500)
In (0.750, 0.250, 0.500)
As (0.250, 0.250, 0.723)
As (0.750, 0.750, 0.277)
O (0.250, 0.750, 0.000)
O (0.750, 0.250, 0.000)

***

Record 8
The following is a PBE calculation of a geometry-optimized Tb2HoZn3InGa2 structure, from OQMD.

Summary:
- ρ: 8.19 Mg/m³
- DFT total energy: -3.449 eV per atom
- Space group: Amm2

Unit cell a=4.392 b=7.047 c=7.047 alpha=119.88 beta=90.00 gamma=90.00
Positions (direct):
Tb (0.000, 0.221, 0.779)
Tb (0.000, 0.779, 0.221)
Ho (0.000, 0.336, 0.336)
Zn (0.500, 0.033, 0.033)
Zn (0.500, 0.525, 0.778)
Zn (0.500, 0.778, 0.525)
In (0.000, 0.777, 0.777)
Ga (0.500, 0.113, 0.445)
Ga (0.500, 0.445, 0.113)

***

Record 9
The following is a PBE calculation of a geometry-optimized LaCoSi2Ni structure, from OQMD.

Summary:
- ρ: 6.41 Mg/m³
- DFT total energy: -6.429 eV per atom
- Space group: I-4m2

Unit cell a=5.691 b=5.691 c=5.691 alpha=138.21 beta=138.21 gamma=60.59
Positions (direct):
La (0.000, 0.000, 0.000)
Co (0.250, 0.750, 0.500)
Si (0.367, 0.367, 0.000)
Si (0.633, 0.633, 0.000)
Ni (0.750, 0.250, 0.500)

***

Record 10
The following is a PBE calculation of a geometry-optimized NaScPtPb structure, from OQMD.

Summary:
- ρ: 9.88 Mg/m³
- DFT total energy: -4.832 eV per atom
- Space group: F-43m
- Energy relative to the lowest polymorph listed for this composition: 0 meV per atom

Unit cell a=4.817 b=4.817 c=4.817 alpha=60.00 beta=60.00 gamma=60.00
Positions (direct):
Na (0.000, 0.000, 0.000)
Sc (0.750, 0.750, 0.750)
Pt (0.500, 0.500, 0.500)
Pb (0.250, 0.250, 0.250)

***

Record 11
The following is a PBE calculation of a geometry-optimized HoSiNO structure, from OQMD.

Summary:
- ρ: 6.69 Mg/m³
- DFT total energy: -7.268 eV per atom
- Space group: P4/nmm
- Energy relative to the lowest polymorph listed for this composition: 224 meV per atom

Unit cell a=3.913 b=3.913 c=7.225 alpha=90.00 beta=90.00 gamma=90.00
Positions (direct):
Ho (0.250, 0.250, 0.148)
Ho (0.750, 0.750, 0.852)
Si (0.250, 0.750, 0.500)
Si (0.750, 0.250, 0.500)
N (0.250, 0.250, 0.500)
N (0.750, 0.750, 0.500)
O (0.250, 0.750, 0.000)
O (0.750, 0.250, 0.000)

***

Record 12
The following is a PBE calculation of a geometry-optimized Sc2ZnTc structure, from OQMD.

Summary:
- Formation energy: -1.20 eV per formula unit
- ρ: 5.97 Mg/m³
- DFT total energy: -6.372 eV per atom
- Space group: Immm

Unit cell a=4.636 b=4.636 c=4.636 alpha=120.07 beta=119.89 gamma=90.04
Positions (direct):
Sc (0.250, 0.250, 0.000)
Sc (0.750, 0.750, 0.000)
Zn (0.500, 0.000, 0.500)
Tc (0.000, 0.500, 0.500)

***

Record 13
The following is a PBE calculation of a geometry-optimized HoTlNO structure, from OQMD.

Summary:
- ρ: 10.97 Mg/m³
- DFT total energy: -6.174 eV per atom
- Space group: P4/nmm
- Energy relative to the lowest polymorph listed for this composition: 7 meV per atom

Unit cell a=5.045 b=5.045 c=4.749 alpha=90.00 beta=90.00 gamma=90.00
Positions (direct):
Ho (0.250, 0.750, 0.000)
Ho (0.750, 0.250, 0.000)
Tl (0.250, 0.250, 0.499)
Tl (0.750, 0.750, 0.501)
N (0.250, 0.250, 0.999)
N (0.750, 0.750, 0.001)
O (0.250, 0.750, 0.500)
O (0.750, 0.250, 0.500)

***

Record 14
The following is a PBE calculation of a geometry-optimized La2Pr2O5 structure, from OQMD.

Summary:
- ρ: 6.73 Mg/m³
- DFT total energy: -7.365 eV per atom
- Space group: P4/mmm
- Energy relative to the lowest polymorph listed for this composition: 29 meV per atom

Unit cell a=4.627 b=4.627 c=7.368 alpha=90.00 beta=90.00 gamma=90.00
Positions (direct):
La (0.000, 0.000, 0.210)
La (0.000, 0.000, 0.790)
Pr (0.500, 0.500, 0.000)
Pr (0.500, 0.500, 0.500)
O (0.000, 0.000, 0.500)
O (0.000, 0.500, 0.226)
O (0.000, 0.500, 0.774)
O (0.500, 0.000, 0.226)
O (0.500, 0.000, 0.774)

***

Record 15
The following is a PBE calculation of a geometry-optimized YTm2Ga3AgPd2 structure, from OQMD.

Summary:
- ρ: 8.85 Mg/m³
- DFT total energy: -4.938 eV per atom
- Space group: Amm2

Unit cell a=3.659 b=7.533 c=7.533 alpha=120.17 beta=90.00 gamma=90.00
Positions (direct):
Y (0.000, 0.000, 0.000)
Tm (0.000, 0.406, 0.812)
Tm (0.000, 0.812, 0.406)
Ga (0.500, 0.134, 0.407)
Ga (0.500, 0.407, 0.134)
Ga (0.500, 0.677, 0.677)
Ag (0.000, 0.408, 0.408)
Pd (0.500, 0.074, 0.735)
Pd (0.500, 0.735, 0.074)

***

Record 16
The following is a PBE calculation of a geometry-optimized Pm5Ge2Pb structure, from OQMD.

Summary:
- ρ: 7.74 Mg/m³
- DFT total energy: -5.256 eV per atom
- Space group: I4/mcm

Unit cell a=9.100 b=9.100 c=9.100 alpha=127.32 beta=127.32 gamma=77.73
Positions (direct):
Pm (0.000, 0.000, 0.000)
Pm (0.020, 0.520, 0.821)
Pm (0.199, 0.020, 0.500)
Pm (0.301, 0.801, 0.821)
Pm (0.480, 0.301, 0.500)
Pm (0.500, 0.500, 0.000)
Pm (0.520, 0.699, 0.500)
Pm (0.699, 0.199, 0.179)
Pm (0.801, 0.980, 0.500)
Pm (0.980, 0.480, 0.179)
Ge (0.142, 0.358, 0.500)
Ge (0.358, 0.858, 0.217)
Ge (0.642, 0.142, 0.783)
Ge (0.858, 0.642, 0.500)
Pb (0.250, 0.250, 0.000)
Pb (0.750, 0.750, 0.000)

***

Record 17
The following is a PBE calculation of a geometry-optimized Ni2Os3 structure, from OQMD.

Summary:
- Formation energy: 3.90 eV per formula unit
- ρ: 16.95 Mg/m³
- DFT total energy: -8.183 eV per atom
- Space group: R-3c

Unit cell a=5.408 b=5.408 c=5.408 alpha=69.90 beta=69.90 gamma=69.90
Positions (direct):
Ni (0.091, 0.091, 0.091)
Ni (0.409, 0.409, 0.409)
Ni (0.591, 0.591, 0.591)
Ni (0.909, 0.909, 0.909)
Os (0.000, 0.250, 0.500)
Os (0.000, 0.750, 0.500)
Os (0.250, 0.500, 0.000)
Os (0.500, 0.000, 0.250)
Os (0.500, 0.000, 0.750)
Os (0.750, 0.500, 0.000)

***

Record 18
The following is a PBE calculation of a geometry-optimized Er3Zn11 structure, from OQMD.

Summary:
- Formation energy: -4.55 eV per formula unit
- ρ: 8.27 Mg/m³
- DFT total energy: -2.297 eV per atom
- Space group: Immm

Unit cell a=8.061 b=8.061 c=8.061 alpha=148.98 beta=112.37 gamma=76.26
Positions (direct):
Er (0.000, 0.000, 0.000)
Er (0.296, 0.296, 0.000)
Er (0.704, 0.704, 0.000)
Zn (0.023, 0.660, 0.362)
Zn (0.142, 0.862, 0.280)
Zn (0.298, 0.660, 0.638)
Zn (0.310, 0.500, 0.810)
Zn (0.418, 0.138, 0.280)
Zn (0.500, 0.000, 0.500)
Zn (0.582, 0.862, 0.720)
Zn (0.690, 0.500, 0.190)
Zn (0.702, 0.340, 0.362)
Zn (0.858, 0.138, 0.720)
Zn (0.977, 0.340, 0.638)

***

Record 19
The following is a PBE calculation of a geometry-optimized GdZrAg4 structure, from OQMD.

Summary:
- Formation energy: -1.06 eV per formula unit
- ρ: 9.17 Mg/m³
- DFT total energy: -4.259 eV per atom
- Space group: P4/mmm

Unit cell a=3.658 b=3.658 c=9.201 alpha=90.00 beta=90.00 gamma=90.00
Positions (direct):
Gd (0.000, 0.000, 0.000)
Zr (0.500, 0.500, 0.500)
Ag (0.000, 0.000, 0.337)
Ag (0.000, 0.000, 0.663)
Ag (0.500, 0.500, 0.179)
Ag (0.500, 0.500, 0.821)

***

Record 20
The following is a PBE calculation of a geometry-optimized AcTbHo structure, from OQMD.

Summary:
- Formation energy: 2.04 eV per formula unit
- ρ: 7.24 Mg/m³
- DFT total energy: -3.757 eV per atom
- Space group: F-43m
- Energy relative to the lowest polymorph listed for this composition: 0 meV per atom

Unit cell a=5.632 b=5.632 c=5.632 alpha=60.00 beta=60.00 gamma=60.00
Positions (direct):
Ac (0.000, 0.000, 0.000)
Tb (0.500, 0.500, 0.500)
Ho (0.250, 0.250, 0.250)

***

Record 21
The following is a PBE calculation of a geometry-optimized YHo2Al3NiGe2 structure, from OQMD.

Summary:
- ρ: 6.73 Mg/m³
- DFT total energy: -5.379 eV per atom
- Space group: Amm2

Unit cell a=4.173 b=6.930 c=6.930 alpha=120.01 beta=90.00 gamma=90.00
Positions (direct):
Y (0.000, 0.000, 0.000)
Ho (0.000, 0.194, 0.597)
Ho (0.000, 0.597, 0.194)
Al (0.500, 0.368, 0.368)
Al (0.500, 0.596, 0.826)
Al (0.500, 0.826, 0.596)
Ni (0.000, 0.595, 0.595)
Ge (0.500, 0.264, 0.930)
Ge (0.500, 0.930, 0.264)

***

Record 22
The following is a PBE calculation of a geometry-optimized LuZn2 structure, from OQMD.

Summary:
- Formation energy: -0.64 eV per formula unit
- ρ: 8.95 Mg/m³
- DFT total energy: -2.566 eV per atom
- Space group: P2_1/m

Unit cell a=8.079 b=4.601 c=12.853 alpha=90.00 beta=108.11 gamma=90.00
Positions (direct):
Lu (0.107, 0.250, 0.214)
Lu (0.187, 0.750, 0.422)
Lu (0.226, 0.250, 0.773)
Lu (0.310, 0.750, 0.119)
Lu (0.690, 0.250, 0.881)
Lu (0.774, 0.750, 0.227)
Lu (0.813, 0.250, 0.578)
Lu (0.893, 0.750, 0.786)
Zn (0.072, 0.250, 0.966)
Zn (0.101, 0.750, 0.639)
Zn (0.154, 0.250, 0.544)
Zn (0.265, 0.750, 0.895)
Zn (0.411, 0.250, 0.014)
Zn (0.415, 0.250, 0.432)
Zn (0.471, 0.750, 0.749)
Zn (0.491, 0.250, 0.649)
Zn (0.509, 0.750, 0.351)
Zn (0.529, 0.250, 0.251)
Zn (0.585, 0.750, 0.568)
Zn (0.589, 0.750, 0.986)
Zn (0.735, 0.250, 0.105)
Zn (0.846, 0.750, 0.456)
Zn (0.899, 0.250, 0.361)
Zn (0.928, 0.750, 0.034)

***

Record 23
The following is a PBE calculation of a geometry-optimized RbMgBiPt structure, from OQMD.

Summary:
- ρ: 8.74 Mg/m³
- DFT total energy: -3.077 eV per atom
- Space group: F-43m
- Energy relative to the lowest polymorph listed for this composition: 0 meV per atom

Unit cell a=5.169 b=5.169 c=5.169 alpha=60.00 beta=60.00 gamma=60.00
Positions (direct):
Rb (0.000, 0.000, 0.000)
Mg (0.750, 0.750, 0.750)
Bi (0.250, 0.250, 0.250)
Pt (0.500, 0.500, 0.500)